PmY4Er: relaxed, GGA-PBE.

M_tot = 0.0 μB/f.u.
Space-group type = C2/m, No. 12
DFT total energy = -5.7927 eV per atom
ΔE_f = 1.59 kcal/mol of atoms
Excess energy over the best structure of this formula in the dataset = 0 meV/atom

abc: 9.810 5.666 8.956
angles: 129.17 90.00 90.00
Element x y z (fractional)
Y (0.334, 0.253, 0.254)
Er (0.500, 0.000, 0.500)
Y (0.834, 0.247, 0.746)
Y (0.167, 0.246, 0.746)
Y (0.833, 0.754, 0.254)
Pm (0.500, 0.500, 0.000)
Y (0.667, 0.254, 0.254)
Y (0.333, 0.746, 0.746)
Pm (0.000, 0.000, 0.000)
Er (0.000, 0.500, 0.500)
Y (0.666, 0.747, 0.746)
Y (0.166, 0.753, 0.254)

=====

PmYEr2: relaxed, GGA-PBE.

M_tot = 0.0 μB/f.u.
Space-group type = Fm-3m, No. 225
DFT total energy = -4.9601 eV per atom
ΔE_f = 2.88 kcal/mol of atoms
Excess energy over the best structure of this formula in the dataset = 112 meV/atom

abc: 5.678 5.678 5.678
angles: 60.00 60.00 60.00
Element x y z (fractional)
Er (0.250, 0.250, 0.250)
Er (0.750, 0.750, 0.750)
Pm (0.000, 0.000, 0.000)
Y (0.500, 0.500, 0.500)

=====

PmY7Er4: relaxed, GGA-PBE.

M_tot = 0.0 μB/f.u.
Space-group type = P-1, No. 2
DFT total energy = -5.6000 eV per atom
ΔE_f = 2.02 kcal/mol of atoms
Excess energy over the best structure of this formula in the dataset = 0 meV/atom

abc: 6.821 8.749 9.056
angles: 82.96 93.80 47.42
Element x y z (fractional)
Er (0.550, 0.643, 0.287)
Y (0.014, 0.683, 0.360)
Y (0.736, 0.516, 0.951)
Y (0.500, 0.000, 0.000)
Er (0.450, 0.357, 0.713)
Y (0.264, 0.484, 0.049)
Y (0.296, 0.808, 0.614)
Er (0.775, 0.838, 0.687)
Er (0.225, 0.162, 0.313)
Y (0.704, 0.192, 0.386)
Y (0.986, 0.317, 0.640)
Pm (0.000, 0.000, 0.000)

=====

PmY2Er: relaxed, GGA-PBE.

M_tot = 0.0 μB/f.u.
Space-group type = R-3m, No. 166
DFT total energy = -5.5384 eV per atom
ΔE_f = 0.51 kcal/mol of atoms
Excess energy over the best structure of this formula in the dataset = 11 meV/atom

abc: 3.579 3.579 11.824
angles: 81.30 81.30 60.00
Element x y z (fractional)
Er (0.000, 0.000, 0.000)
Y (0.251, 0.251, 0.246)
Y (0.749, 0.749, 0.754)
Pm (0.500, 0.500, 0.500)

=====

Pm8YEr3: relaxed, GGA-PBE.

M_tot = 0.0 μB/f.u.
Space-group type = P-1, No. 2
DFT total energy = -4.8331 eV per atom
ΔE_f = 0.31 kcal/mol of atoms

abc: 7.239 10.182 9.528
angles: 143.24 100.99 90.00
Element x y z (fractional)
Pm (0.666, 0.002, 0.668)
Pm (0.833, 0.998, 0.332)
Pm (0.167, 0.002, 0.668)
Y (0.000, 0.000, 0.000)
Pm (0.666, 0.499, 0.667)
Er (0.500, 0.000, 0.000)
Er (0.000, 0.500, 0.000)
Pm (0.334, 0.501, 0.333)
Pm (0.168, 0.501, 0.669)
Pm (0.334, 0.998, 0.332)
Pm (0.832, 0.499, 0.331)
Er (0.500, 0.500, 0.000)

=====

Pm4Y4Er: relaxed, GGA-PBE.

M_tot = 0.0 μB/f.u.
Space-group type = I4/mmm, No. 139
DFT total energy = -5.4714 eV per atom
ΔE_f = 0.46 kcal/mol of atoms

abc: 5.088 8.052 8.052
angles: 84.27 71.58 71.58
Element x y z (fractional)
Pm (0.000, 0.668, 0.332)
Pm (0.668, 0.332, 0.332)
Y (0.334, 0.000, 0.331)
Pm (0.332, 0.668, 0.668)
Er (0.000, 0.000, 0.000)
Pm (0.000, 0.332, 0.668)
Y (0.334, 0.331, 0.000)
Y (0.666, 0.000, 0.669)
Y (0.666, 0.669, 0.000)

=====

Pm2Y7Er: relaxed, GGA-PBE.

M_tot = 0.0 μB/f.u.
Space-group type = Cmmm, No. 65
DFT total energy = -5.7704 eV per atom
ΔE_f = 3.71 kcal/mol of atoms
Excess energy over the best structure of this formula in the dataset = 0 meV/atom

abc: 3.525 14.856 14.856
angles: 154.62 90.00 90.00
Element x y z (fractional)
Y (0.500, 0.657, 0.852)
Er (0.000, 0.000, 0.000)
Y (0.500, 0.852, 0.657)
Y (0.000, 0.186, 0.814)
Y (0.500, 0.343, 0.148)
Pm (0.500, 0.292, 0.708)
Y (0.000, 0.814, 0.186)
Y (0.500, 0.500, 0.500)
Pm (0.500, 0.708, 0.292)
Y (0.500, 0.148, 0.343)

=====

Pm2Y3Er6: relaxed, GGA-PBE.

M_tot = 0.0 μB/f.u.
Space-group type = I4/mmm, No. 139
DFT total energy = -4.8508 eV per atom
ΔE_f = 6.10 kcal/mol of atoms
Excess energy over the best structure of this formula in the dataset = 72 meV/atom

abc: 4.729 4.729 16.797
angles: 98.09 98.09 90.00
Element x y z (fractional)
Pm (0.454, 0.454, 0.908)
Er (0.621, 0.121, 0.242)
Er (0.879, 0.379, 0.758)
Y (0.000, 0.000, 0.000)
Pm (0.546, 0.546, 0.092)
Er (0.121, 0.621, 0.242)
Y (0.203, 0.203, 0.406)
Er (0.693, 0.693, 0.385)
Y (0.797, 0.797, 0.594)
Er (0.307, 0.307, 0.615)
Er (0.379, 0.879, 0.758)

=====

Q: The highest ΔE_f belongs to which entry?
A: Pm2Y3Er6